ZnCrIn2F6: relaxed, PBE+U.

Summary:
The value obtained for the volume is 154.4 Å³/f.u. The total energy is -4.656 eV per atom.

Cell: 5.882 5.883 6.085 Å, 61.29 61.23 89.99°
Element x y z (fractional)
Zn1 0.000 0.000 0.000
Cr1 0.500 0.500 0.000
In1 0.248 0.752 0.500
In2 0.752 0.248 0.500
F1 0.223 0.222 0.548
F2 0.253 0.256 0.000
F3 0.256 0.747 0.999
F4 0.744 0.253 0.001
F5 0.747 0.744 0.000
F6 0.777 0.778 0.452